Entry 1:
The following is a PBE calculation of a relaxed structure of LaScTe2N, from the Alexandria database.

Output
- excess energy over the best structure of this formula in the dataset (eV/f.u.) = 0.00
- energy relative to the elements, uncorrected (eV/atom) = -0.77
- symmetry = No. 123

abc: 5.679 5.679 4.097
angles: 90.00 90.00 90.00
Positions (direct):
La (0.000, 0.000, 0.000)
Sc (0.500, 0.500, 0.500)
Te (0.000, 0.500, 0.500)
Te (0.500, 0.000, 0.500)
N (0.500, 0.500, 0.000)

Entry 2:
The following is a PBE calculation of a relaxed structure of YTm8Mg2, from the Alexandria database.

Output
- E (eV per atom) = -3.965
- symmetry = No. 12

abc: 8.784 8.784 5.561
angles: 102.21 102.21 121.06
Positions (direct):
Y (0.000, 0.000, 0.000)
Tm (0.098, 0.321, 0.630)
Tm (0.213, 0.787, 0.000)
Tm (0.321, 0.098, 0.630)
Tm (0.407, 0.407, 0.202)
Tm (0.593, 0.593, 0.798)
Tm (0.679, 0.902, 0.370)
Tm (0.787, 0.213, 0.000)
Tm (0.902, 0.679, 0.370)
Mg (0.307, 0.693, 0.500)
Mg (0.693, 0.307, 0.500)

Entry 3:
The following is a PBE calculation of a relaxed structure of TlCrAg3, from the Alexandria database.

Output
- excess energy over the best structure of this formula in the dataset (eV/f.u.) = 0.00
- symmetry = No. 221

abc: 5.128 5.128 5.128
angles: 90.00 90.00 90.00
Positions (direct):
Tl (0.000, 0.000, 0.000)
Cr (0.500, 0.500, 0.500)
Ag (0.000, 0.500, 0.500)
Ag (0.500, 0.000, 0.500)
Ag (0.500, 0.500, 0.000)

Entry 4:
The following is a PBE calculation of a relaxed structure of ScZnHg, from the Alexandria database.

Output
- E (eV per atom) = -2.784
- symmetry = No. 216

abc: 4.498 4.498 4.498
angles: 60.00 60.00 60.00
Positions (direct):
Sc (0.000, 0.000, 0.000)
Zn (0.250, 0.250, 0.250)
Hg (0.500, 0.500, 0.500)

Entry 5:
The following is a PBE calculation of a relaxed structure of CeTiGa4, from the Alexandria database.

Output
- excess energy over the best structure of this formula in the dataset (eV/f.u.) = 0.00
- symmetry = No. 216

abc: 5.395 5.395 5.395
angles: 60.00 60.00 60.00
Positions (direct):
Ce (0.000, 0.000, 0.000)
Ti (0.750, 0.750, 0.750)
Ga (0.375, 0.375, 0.375)
Ga (0.375, 0.375, 0.874)
Ga (0.375, 0.874, 0.375)
Ga (0.874, 0.375, 0.375)

Entry 6:
The following is a PBE calculation of a relaxed structure of Al2SbTe, from the Alexandria database.

Output
- excess energy over the best structure of this formula in the dataset (eV/f.u.) = 1.77
- energy relative to the elements, uncorrected (eV/atom) = 0.33
- symmetry = No. 216

abc: 5.129 5.129 5.129
angles: 60.00 60.00 60.00
Positions (direct):
Al (0.000, 0.000, 0.000)
Al (0.250, 0.250, 0.250)
Sb (0.500, 0.500, 0.500)
Te (0.750, 0.750, 0.750)

Entry 7:
The following is a PBE calculation of a relaxed structure of LaSc5Ru4, from the Alexandria database.

Output
- E (eV per atom) = -7.820
- symmetry = No. 123

abc: 3.239 3.239 18.451
angles: 90.00 90.00 90.00
Positions (direct):
La (0.000, 0.000, 0.000)
Sc (0.500, 0.500, 0.158)
Sc (0.500, 0.500, 0.329)
Sc (0.500, 0.500, 0.500)
Sc (0.500, 0.500, 0.671)
Sc (0.500, 0.500, 0.842)
Ru (0.000, 0.000, 0.236)
Ru (0.000, 0.000, 0.413)
Ru (0.000, 0.000, 0.587)
Ru (0.000, 0.000, 0.764)

Entry 8:
The following is a PBE calculation of a relaxed structure of ReWCl2, from the Alexandria database.

Output
- excess energy over the best structure of this formula in the dataset (eV/f.u.) = 4.31
- energy relative to the elements, uncorrected (eV/atom) = 0.90
- symmetry = No. 166

abc: 10.469 10.469 10.469
angles: 16.02 16.02 16.02
Positions (direct):
Re (0.000, 0.000, 0.000)
W (0.500, 0.500, 0.500)
Cl (0.226, 0.226, 0.226)
Cl (0.774, 0.774, 0.774)